VASP calculation (PBE-GGA) on an optimized crystal structure of Ta3Mo2W.

Output
Size of the total moment = 0.0 μB per formula unit
Electronic total energy = -11.864 eV per atom
Formation enthalpy at 0 K = -0.168 eV per atom

Lattice parameters (Å, degrees): 3.2361 3.2361 9.6814 90.00 90.00 90.00
Atoms (fractional coordinates):
W: 0.5000 0.5000 0.5000
Ta: 0.0000 0.0000 0.0000
Ta: 0.0000 0.0000 0.6677
Ta: 0.0000 0.0000 0.3323
Mo: 0.5000 0.5000 0.1663
Mo: 0.5000 0.5000 0.8337

VASP calculation (PBE-GGA) on an optimized crystal structure of LiMo3.

Output
ΔE to the lowest computed polymorph = 138.2 meV/atom
Size of the total moment = 0.0 μB per formula unit
Electronic total energy = -8.231 eV per atom
Formation enthalpy at 0 K = 0.371 eV per atom

Lattice parameters (Å, degrees): 5.1417 5.1417 5.1417 144.04 129.31 63.71
Atoms (fractional coordinates):
Li: 0.5000 0.0000 0.5000
Mo: 0.7611 0.7611 0.0000
Mo: 0.0000 0.5000 0.5000
Mo: 0.2389 0.2389 0.0000

VASP calculation (PBE-GGA) on an optimized crystal structure of TaCl.

Output
Size of the total moment = 0.0 μB per formula unit
Electronic total energy = -5.990 eV per atom

Lattice parameters (Å, degrees): 6.1631 6.1631 4.8208 90.00 90.00 90.00
Atoms (fractional coordinates):
Ta: 0.1318 0.8682 0.5000
Ta: 0.3682 0.3682 0.0000
Ta: 0.8682 0.1318 0.5000
Ta: 0.6318 0.6318 0.0000
Cl: 0.7094 0.7094 0.5000
Cl: 0.7906 0.2094 0.0000
Cl: 0.2906 0.2906 0.5000
Cl: 0.2094 0.7906 0.0000